# Y3InO6 PBE optimized geometry
data_Y3InO6
_chemical_formula_sum 'Y6 In2 O12'
_cell_length_a 5.6114
_cell_length_b 7.2050
_cell_length_c 7.2050
_cell_angle_alpha 102.84
_cell_angle_beta 90.00
_cell_angle_gamma 90.00
_symmetry_space_group_name_H-M 'P 1'
_symmetry_Int_Tables_number 1
loop_
_symmetry_equiv_pos_as_xyz
'x,y,z'
loop_
_atom_site_label
_atom_site_fract_x
_atom_site_fract_y
_atom_site_fract_z
Y1 0.4749 0.9101 0.6973
Y2 0.9749 0.6973 0.9101
Y3 0.4216 0.3995 0.6005
Y4 0.9216 0.6005 0.3995
Y5 0.9749 0.0899 0.3027
Y6 0.4749 0.3027 0.0899
In1 0.9911 0.1828 0.8172
In2 0.4911 0.8172 0.1828
O1 0.1970 0.6794 0.6419
O2 0.6970 0.6419 0.6794
O3 0.1975 0.4315 0.8982
O4 0.6975 0.8982 0.4315
O5 0.2000 0.0259 0.9741
O6 0.6339 0.2187 0.7813
O7 0.1339 0.7813 0.2187
O8 0.7000 0.9741 0.0259
O9 0.1975 0.1018 0.5685
O10 0.6975 0.5685 0.1018
O11 0.1970 0.3581 0.3206
O12 0.6970 0.3206 0.3581
# Excess energy over the best structure of this formula in the dataset (eV per atom): 0.0524
# ΔE_f (raw) (kJ per mole of atoms): -289
# Total magnetization (Bohr magnetons per cell): 0.0
# Energy (eV per atom): -8.19

***

# K2PrZrP3O12 PBE optimized geometry
data_K2PrZrP3O12
_chemical_formula_sum 'K8 Pr4 Zr4 P12 O48'
_cell_length_a 10.6443
_cell_length_b 10.6443
_cell_length_c 10.6443
_cell_angle_alpha 90.00
_cell_angle_beta 90.00
_cell_angle_gamma 90.00
_symmetry_space_group_name_H-M 'P 1'
_symmetry_Int_Tables_number 1
loop_
_symmetry_equiv_pos_as_xyz
'x,y,z'
loop_
_atom_site_label
_atom_site_fract_x
_atom_site_fract_y
_atom_site_fract_z
K1 0.0737 0.0737 0.0737
K2 0.9263 0.5737 0.4263
K3 0.4263 0.9263 0.5737
K4 0.1949 0.6949 0.8051
K5 0.8051 0.1949 0.6949
K6 0.5737 0.4263 0.9263
K7 0.6949 0.8051 0.1949
K8 0.3051 0.3051 0.3051
Pr1 0.9233 0.4233 0.0767
Pr2 0.0767 0.9233 0.4233
Pr3 0.4233 0.0767 0.9233
Pr4 0.5767 0.5767 0.5767
Zr1 0.8545 0.8545 0.8545
Zr2 0.1455 0.3545 0.6455
Zr3 0.3545 0.6455 0.1455
Zr4 0.6455 0.1455 0.3545
P1 0.5439 0.7511 0.8824
P2 0.7511 0.8824 0.5439
P3 0.3824 0.9561 0.2489
P4 0.9561 0.2489 0.3824
P5 0.2511 0.6176 0.4561
P6 0.1176 0.0439 0.7489
P7 0.4561 0.2511 0.6176
P8 0.7489 0.1176 0.0439
P9 0.2489 0.3824 0.9561
P10 0.0439 0.7489 0.1176
P11 0.8824 0.5439 0.7511
P12 0.6176 0.4561 0.2511
O1 0.1235 0.3423 0.0156
O2 0.8423 0.4844 0.8765
O3 0.8507 0.2185 0.0266
O4 0.5858 0.3135 0.2671
O5 0.2671 0.5858 0.3135
O6 0.0058 0.4796 0.7050
O7 0.2815 0.9734 0.3507
O8 0.6235 0.1577 0.9844
O9 0.5266 0.6493 0.7815
O10 0.1577 0.9844 0.6235
O11 0.4844 0.8765 0.8423
O12 0.4734 0.1493 0.7185
O13 0.4142 0.8135 0.2329
O14 0.4942 0.5204 0.2050
O15 0.2050 0.4942 0.5204
O16 0.9942 0.9796 0.7950
O17 0.9734 0.3507 0.2815
O18 0.6577 0.5156 0.3765
O19 0.7815 0.5266 0.6493
O20 0.7329 0.0858 0.1865
O21 0.9142 0.6865 0.7671
O22 0.5156 0.3765 0.6577
O23 0.7185 0.4734 0.1493
O24 0.7671 0.9142 0.6865
O25 0.4796 0.7050 0.0058
O26 0.9844 0.6235 0.1577
O27 0.6865 0.7671 0.9142
O28 0.0156 0.1235 0.3423
O29 0.0204 0.2950 0.5058
O30 0.1865 0.7329 0.0858
O31 0.5058 0.0204 0.2950
O32 0.2950 0.5058 0.0204
O33 0.3765 0.6577 0.5156
O34 0.9796 0.7950 0.9942
O35 0.0266 0.8507 0.2185
O36 0.5204 0.2050 0.4942
O37 0.7950 0.9942 0.9796
O38 0.8135 0.2329 0.4142
O39 0.0858 0.1865 0.7329
O40 0.6493 0.7815 0.5266
O41 0.3135 0.2671 0.5858
O42 0.1493 0.7185 0.4734
O43 0.7050 0.0058 0.4796
O44 0.2329 0.4142 0.8135
O45 0.2185 0.0266 0.8507
O46 0.8765 0.8423 0.4844
O47 0.3507 0.2815 0.9734
O48 0.3423 0.0156 0.1235
# ΔE_f (raw) (kJ per mole of atoms): -261
# Total magnetization (Bohr magnetons per cell): 0.0
# Energy (eV per atom): -7.51

***

# Ho4ZnTe2 PBE optimized geometry
data_Ho4ZnTe2
_chemical_formula_sum 'Ho8 Zn2 Te4'
_cell_length_a 4.4638
_cell_length_b 7.6521
_cell_length_c 11.9473
_cell_angle_alpha 90.00
_cell_angle_beta 90.00
_cell_angle_gamma 90.00
_symmetry_space_group_name_H-M 'P 1'
_symmetry_Int_Tables_number 1
loop_
_symmetry_equiv_pos_as_xyz
'x,y,z'
loop_
_atom_site_label
_atom_site_fract_x
_atom_site_fract_y
_atom_site_fract_z
Ho1 0.0000 0.6414 0.7874
Ho2 0.0000 0.3586 0.2126
Ho3 0.0000 0.1414 0.7126
Ho4 0.0000 0.8586 0.2874
Ho5 0.5000 0.7934 0.5588
Ho6 0.5000 0.2066 0.4412
Ho7 0.5000 0.7066 0.0588
Ho8 0.5000 0.2934 0.9412
Zn1 0.0000 0.0000 0.5000
Zn2 0.0000 0.5000 0.0000
Te1 0.5000 0.9195 0.8273
Te2 0.5000 0.0805 0.1727
Te3 0.5000 0.4195 0.6727
Te4 0.5000 0.5805 0.3273
# ΔE_f (raw) (kJ per mole of atoms): -72
# Total magnetization (Bohr magnetons per cell): 0.0
# Energy (eV per atom): -4.44

***

# TmGaBr4 PBE optimized geometry
data_TmGaBr4
_chemical_formula_sum 'Tm1 Ga1 Br4'
_cell_length_a 4.1621
_cell_length_b 7.2784
_cell_length_c 7.8800
_cell_angle_alpha 100.21
_cell_angle_beta 90.00
_cell_angle_gamma 106.70
_symmetry_space_group_name_H-M 'P 1'
_symmetry_Int_Tables_number 1
loop_
_symmetry_equiv_pos_as_xyz
'x,y,z'
loop_
_atom_site_label
_atom_site_fract_x
_atom_site_fract_y
_atom_site_fract_z
Tm1 0.0000 0.0000 0.9999
Ga1 0.5001 0.0001 0.5001
Br1 0.8867 0.7745 0.6783
Br2 0.1132 0.2254 0.3217
Br3 0.3852 0.7719 0.1025
Br4 0.6148 0.2281 0.8974
# ΔE_f (raw) (kJ per mole of atoms): -136
# Total magnetization (Bohr magnetons per cell): 0.0
# Energy (eV per atom): -3.78

***

# CsH8W2 PBE optimized geometry
data_CsH8W2
_chemical_formula_sum 'Cs1 H8 W2'
_cell_length_a 6.5208
_cell_length_b 4.7962
_cell_length_c 4.8804
_cell_angle_alpha 120.63
_cell_angle_beta 89.65
_cell_angle_gamma 89.97
_symmetry_space_group_name_H-M 'P 1'
_symmetry_Int_Tables_number 1
loop_
_symmetry_equiv_pos_as_xyz
'x,y,z'
loop_
_atom_site_label
_atom_site_fract_x
_atom_site_fract_y
_atom_site_fract_z
Cs1 0.0425 0.9961 0.9932
H1 0.4148 0.9984 0.6763
H2 0.3911 0.5908 0.9971
H3 0.6613 0.6959 0.6918
H4 0.8279 0.3080 0.6479
H5 0.8280 0.6831 0.3345
H6 0.3906 0.4075 0.4061
H7 0.6602 0.2955 0.9922
H8 0.6521 0.9964 0.2423
W1 0.5659 0.6845 0.3359
W2 0.5658 0.3098 0.6487
# Total magnetization (Bohr magnetons per cell): 0.0
# Energy (eV per atom): -4.84

***

# Ac2PrMg PBE optimized geometry
data_Ac2PrMg
_chemical_formula_sum 'Ac2 Pr1 Mg1'
_cell_length_a 3.7186
_cell_length_b 3.7186
_cell_length_c 13.1779
_cell_angle_alpha 81.89
_cell_angle_beta 81.89
_cell_angle_gamma 60.00
_symmetry_space_group_name_H-M 'P 1'
_symmetry_Int_Tables_number 1
loop_
_symmetry_equiv_pos_as_xyz
'x,y,z'
loop_
_atom_site_label
_atom_site_fract_x
_atom_site_fract_y
_atom_site_fract_z
Pr1 0.0000 0.0000 0.0000
Ac1 0.0929 0.0929 0.7212
Ac2 0.9071 0.9071 0.2788
Mg1 0.5000 0.5000 0.5000
# Excess energy over the best structure of this formula in the dataset (eV per atom): 0.2690
# Total magnetization (Bohr magnetons per cell): 0.0
# Energy (eV per atom): -3.41
# Energy of formation (meV/atom): 241

***

# LiLa2DyS4 PBE optimized geometry
data_LiLa2DyS4
_chemical_formula_sum 'Li1 La2 Dy1 S4'
_cell_length_a 4.0368
_cell_length_b 6.9803
_cell_length_c 6.9231
_cell_angle_alpha 109.64
_cell_angle_beta 90.00
_cell_angle_gamma 90.00
_symmetry_space_group_name_H-M 'P 1'
_symmetry_Int_Tables_number 1
loop_
_symmetry_equiv_pos_as_xyz
'x,y,z'
loop_
_atom_site_label
_atom_site_fract_x
_atom_site_fract_y
_atom_site_fract_z
Li1 0.5000 0.5000 0.0000
La1 0.5000 0.0000 0.5000
La2 0.0000 0.5000 0.5000
Dy1 0.0000 0.0000 0.0000
S1 0.5000 0.2460 0.2294
S2 0.5000 0.7540 0.7706
S3 0.0000 0.2564 0.7690
S4 0.0000 0.7436 0.2310
# ΔE_f (raw) (kJ per mole of atoms): -190
# Total magnetization (Bohr magnetons per cell): 0.0
# Energy (eV per atom): -6.08

***

# ThZr2Ir PBE optimized geometry
data_ThZr2Ir
_chemical_formula_sum 'Th1 Zr2 Ir1'
_cell_length_a 3.4009
_cell_length_b 3.4009
_cell_length_c 7.8160
_cell_angle_alpha 90.00
_cell_angle_beta 90.00
_cell_angle_gamma 90.00
_symmetry_space_group_name_H-M 'P 1'
_symmetry_Int_Tables_number 1
loop_
_symmetry_equiv_pos_as_xyz
'x,y,z'
loop_
_atom_site_label
_atom_site_fract_x
_atom_site_fract_y
_atom_site_fract_z
Ir1 0.5000 0.5000 0.0000
Zr1 0.0000 0.0000 0.7984
Zr2 0.0000 0.0000 0.2016
Th1 0.5000 0.5000 0.5000
# Excess energy over the best structure of this formula in the dataset (eV per atom): 0.0789
# Total magnetization (Bohr magnetons per cell): 0.0
# Energy (eV per atom): -8.71
# Energy of formation (meV/atom): -367

***

# TmHfMn2 PBE optimized geometry
data_TmHfMn2
_chemical_formula_sum 'Tm1 Hf1 Mn2'
_cell_length_a 3.3357
_cell_length_b 3.3357
_cell_length_c 6.6212
_cell_angle_alpha 90.00
_cell_angle_beta 90.00
_cell_angle_gamma 90.00
_symmetry_space_group_name_H-M 'P 1'
_symmetry_Int_Tables_number 1
loop_
_symmetry_equiv_pos_as_xyz
'x,y,z'
loop_
_atom_site_label
_atom_site_fract_x
_atom_site_fract_y
_atom_site_fract_z
Tm1 0.5000 0.5000 0.5000
Hf1 0.5000 0.5000 0.0000
Mn1 0.0000 0.0000 0.7886
Mn2 0.0000 0.0000 0.2114
# Total magnetization (Bohr magnetons per cell): 4.2
# Energy (eV per atom): -8.14
# Energy of formation (meV/atom): 48

***

# Ti12Ga2Sn5 PBE optimized geometry
data_Ti12Ga2Sn5
_chemical_formula_sum 'Ti12 Ga2 Sn5'
_cell_length_a 7.7610
_cell_length_b 8.2723
_cell_length_c 6.9312
_cell_angle_alpha 71.26
_cell_angle_beta 90.00
_cell_angle_gamma 117.98
_symmetry_space_group_name_H-M 'P 1'
_symmetry_Int_Tables_number 1
loop_
_symmetry_equiv_pos_as_xyz
'x,y,z'
loop_
_atom_site_label
_atom_site_fract_x
_atom_site_fract_y
_atom_site_fract_z
Ti1 0.9562 0.9124 0.1545
Ti2 0.0413 0.7152 0.8993
Ti3 0.6739 0.7152 0.8993
Ti4 0.1992 0.7986 0.4180
Ti5 0.5994 0.7986 0.4180
Ti6 0.4327 0.8653 0.7136
Ti7 0.5673 0.1347 0.2864
Ti8 0.8008 0.2014 0.5820
Ti9 0.4006 0.2014 0.5820
Ti10 0.9587 0.2848 0.1007
Ti11 0.3261 0.2848 0.1007
Ti12 0.0438 0.0876 0.8455
Ga1 0.6727 0.0000 0.0000
Ga2 0.3273 0.0000 0.0000
Sn1 0.2422 0.4844 0.7012
Sn2 0.2973 0.5947 0.1826
Sn3 0.0000 0.0000 0.5000
Sn4 0.7027 0.4053 0.8174
Sn5 0.7578 0.5156 0.2988
# Total magnetization (Bohr magnetons per cell): 1.6
# Energy (eV per atom): -6.44
# Energy of formation (meV/atom): -80

***

# Sr3TbSn6 PBE optimized geometry
data_Sr3TbSn6
_chemical_formula_sum 'Sr6 Tb2 Sn12'
_cell_length_a 8.6893
_cell_length_b 8.6893
_cell_length_c 8.6893
_cell_angle_alpha 97.44
_cell_angle_beta 97.44
_cell_angle_gamma 97.44
_symmetry_space_group_name_H-M 'P 1'
_symmetry_Int_Tables_number 1
loop_
_symmetry_equiv_pos_as_xyz
'x,y,z'
loop_
_atom_site_label
_atom_site_fract_x
_atom_site_fract_y
_atom_site_fract_z
Sr1 0.1834 0.7500 0.3166
Sr2 0.3166 0.1834 0.7500
Sr3 0.2500 0.6834 0.8166
Sr4 0.7500 0.3166 0.1834
Sr5 0.6834 0.8166 0.2500
Sr6 0.8166 0.2500 0.6834
Tb1 0.0000 0.0000 0.0000
Tb2 0.5000 0.5000 0.5000
Sn1 0.9110 0.6336 0.9908
Sn2 0.0092 0.0890 0.3664
Sn3 0.1336 0.4110 0.4909
Sn4 0.3664 0.0092 0.0890
Sn5 0.4110 0.4909 0.1336
Sn6 0.5091 0.8664 0.5890
Sn7 0.4909 0.1336 0.4110
Sn8 0.5890 0.5091 0.8664
Sn9 0.6336 0.9908 0.9110
Sn10 0.8664 0.5890 0.5091
Sn11 0.9908 0.9110 0.6336
Sn12 0.0890 0.3664 0.0092
# Total magnetization (Bohr magnetons per cell): 0.0
# Energy (eV per atom): -3.91
# Energy of formation (meV/atom): -543

***

# Mn2CuNi PBE optimized geometry
data_Mn2CuNi
_chemical_formula_sum 'Mn2 Cu1 Ni1'
_cell_length_a 4.4332
_cell_length_b 4.4332
_cell_length_c 4.2552
_cell_angle_alpha 80.46
_cell_angle_beta 80.46
_cell_angle_gamma 32.34
_symmetry_space_group_name_H-M 'P 1'
_symmetry_Int_Tables_number 1
loop_
_symmetry_equiv_pos_as_xyz
'x,y,z'
loop_
_atom_site_label
_atom_site_fract_x
_atom_site_fract_y
_atom_site_fract_z
Cu1 0.7500 0.7500 0.7500
Mn1 0.9955 0.9955 0.0043
Mn2 0.5045 0.5045 0.4957
Ni1 0.2500 0.2500 0.2500
# Total magnetization (Bohr magnetons per cell): 0.0
# Energy (eV per atom): -6.84
# Energy of formation (meV/atom): 217

***

# Ac3Sm7Y2 PBE optimized geometry
data_Ac3Sm7Y2
_chemical_formula_sum 'Ac3 Sm7 Y2'
_cell_length_a 3.7300
_cell_length_b 5.9414
_cell_length_c 20.5978
_cell_angle_alpha 75.92
_cell_angle_beta 95.19
_cell_angle_gamma 90.00
_symmetry_space_group_name_H-M 'P 1'
_symmetry_Int_Tables_number 1
loop_
_symmetry_equiv_pos_as_xyz
'x,y,z'
loop_
_atom_site_label
_atom_site_fract_x
_atom_site_fract_y
_atom_site_fract_z
Ac1 0.5000 0.5000 0.0000
Ac2 0.8216 0.1310 0.6418
Ac3 0.1784 0.8690 0.3582
Sm1 0.2712 0.7122 0.5432
Sm2 0.7288 0.2878 0.4568
Sm3 0.4142 0.9726 0.8259
Sm4 0.0000 0.0000 0.0000
Sm5 0.5858 0.0274 0.1741
Sm6 0.0708 0.5567 0.1430
Sm7 0.9292 0.4433 0.8570
Y1 0.3575 0.5680 0.7137
Y2 0.6425 0.4320 0.2863
# Total magnetization (Bohr magnetons per cell): 0.0
# Energy (eV per atom): -4.75
# Energy of formation (meV/atom): 105

***

# Ac2ThZrN4 PBE optimized geometry
data_Ac2ThZrN4
_chemical_formula_sum 'Ac2 Th1 Zr1 N4'
_cell_length_a 3.6208
_cell_length_b 6.2444
_cell_length_c 6.4747
_cell_angle_alpha 108.60
_cell_angle_beta 90.00
_cell_angle_gamma 90.00
_symmetry_space_group_name_H-M 'P 1'
_symmetry_Int_Tables_number 1
loop_
_symmetry_equiv_pos_as_xyz
'x,y,z'
loop_
_atom_site_label
_atom_site_fract_x
_atom_site_fract_y
_atom_site_fract_z
Ac1 0.5000 0.0000 0.5000
Ac2 0.0000 0.5000 0.5000
Th1 0.5000 0.5000 0.0000
Zr1 0.0000 0.0000 0.0000
N1 0.5000 0.2223 0.2050
N2 0.5000 0.7777 0.7950
N3 0.0000 0.2433 0.7964
N4 0.0000 0.7567 0.2036
# ΔE_f (raw) (kJ per mole of atoms): -127
# Total magnetization (Bohr magnetons per cell): 0.0
# Energy (eV per atom): -8.51

***

# Zr3Pa2TiN6 PBE optimized geometry
data_Zr3Pa2TiN6
_chemical_formula_sum 'Zr3 Pa2 Ti1 N6'
_cell_length_a 5.7367
_cell_length_b 5.7367
_cell_length_c 5.7781
_cell_angle_alpha 99.44
_cell_angle_beta 99.44
_cell_angle_gamma 120.02
_symmetry_space_group_name_H-M 'P 1'
_symmetry_Int_Tables_number 1
loop_
_symmetry_equiv_pos_as_xyz
'x,y,z'
loop_
_atom_site_label
_atom_site_fract_x
_atom_site_fract_y
_atom_site_fract_z
Zr1 0.1603 0.8397 0.5000
Zr2 0.8397 0.1603 0.5000
Zr3 0.5000 0.5000 0.5000
Pa1 0.3337 0.6663 0.0000
Pa2 0.6663 0.3337 0.0000
Ti1 0.0000 0.0000 0.0000
N1 0.9163 0.5903 0.7462
N2 0.7601 0.7601 0.2541
N3 0.0837 0.4097 0.2538
N4 0.5903 0.9163 0.7462
N5 0.2399 0.2399 0.7459
N6 0.4097 0.0837 0.2538
# ΔE_f (raw) (kJ per mole of atoms): -157
# Total magnetization (Bohr magnetons per cell): 0.0
# Energy (eV per atom): -10.16